The following is a DFT calculation (GGA-PBE) of a relaxed structure of SrReAg2.

abc: 2.915 2.915 9.348
angles: 90.00 90.00 90.00
Fractional coordinates of all 4 atoms:
Sr 0.000 0.000 0.000
Re 0.500 0.500 0.731
Ag 0.000 0.000 0.514
Ag 0.500 0.500 0.286

Summary:
SG: P4mm, No. 99
offset from the most stable computed form: 0.0 meV per atom
formation enthalpy at 0 K: 0.67 eV/atom
crystal system: tetragonal